Entry from the Alexandria database: MnPt5 at its PBEsol-relaxed geometry (SCAN).

## Properties
For the spin magnetization, the calculation gives 4.8 μB per formula unit. The uncorrected energy comes out at -370.79 eV/cell. The calculated density is 19362 kg/m³. The energy of formation from the pure elements is -0.262 eV/atom.

Cell: 4.5288 4.7466 4.7466 Å, 120.00 90.00 90.00°
With the nearest neighbours (Å) after each atom.
Fractional positions:
Pt1 0.0000 0.0000 0.6661  10 Pt 2.74-2.76, 2 Mn 2.76
Pt2 0.0000 0.6661 0.0000  10 Pt 2.74-2.76, 2 Mn 2.76
Pt3 0.5000 0.6667 0.3333  3 Mn 2.74, 9 Pt 2.74-2.76
Pt4 0.5000 0.3333 0.6667  3 Mn 2.74, 9 Pt 2.74-2.76
Pt5 0.0000 0.3339 0.3339  10 Pt 2.74-2.76, 2 Mn 2.76
Mn1 0.5000 0.0000 0.0000  12 Pt 2.74-2.76